Record 1
Here is a geometry-optimized ZrScPa structure from the Open Quantum Materials Database. Energies are from PBE.

a = 4.8446 Å, b = 4.8446 Å, c = 4.8446 Å
α = 60.00°, β = 60.00°, γ = 60.00°
Positions (direct):
Pa (0.2500, 0.2500, 0.2500)
Sc (0.7500, 0.7500, 0.7500)
Zr (0.0000, 0.0000, 0.0000)

Summary:
The raw total energy comes out at -21.9 eV/cell. The formation energy comes out at 0.821 eV/atom.

=====

Record 2
Here is a geometry-optimized Pa5Se6 structure from the Open Quantum Materials Database. Energies are from PBE.

a = 6.9675 Å, b = 6.9675 Å, c = 6.9885 Å
α = 99.59°, β = 99.59°, γ = 120.30°
Positions (direct):
Pa (0.5000, 0.5000, 0.5000)
Pa (0.6665, 0.3335, 0.0000)
Pa (0.3335, 0.6665, 0.0000)
Pa (0.1711, 0.8289, 0.5000)
Pa (0.8289, 0.1711, 0.5000)
Se (0.3940, 0.0782, 0.2358)
Se (0.6060, 0.9218, 0.7642)
Se (0.9218, 0.6060, 0.7642)
Se (0.7627, 0.7627, 0.2432)
Se (0.0782, 0.3940, 0.2358)
Se (0.2373, 0.2373, 0.7568)

Summary:
The raw total energy comes out at -82.6 eV/cell.

=====

Record 3
Here is a geometry-optimized Pa2Se5 structure from the Open Quantum Materials Database. Energies are from PBE.

a = 8.2077 Å, b = 8.2077 Å, c = 7.2916 Å
α = 95.91°, β = 95.91°, γ = 46.54°
Positions (direct):
Se (0.7984, 0.0259, 0.5724)
Se (0.1963, 0.3619, 0.6818)
Se (0.2016, 0.9741, 0.4276)
Se (0.9741, 0.2016, 0.9276)
Se (0.6381, 0.8037, 0.8182)
Se (0.5887, 0.4113, 0.2500)
Se (0.4113, 0.5887, 0.7500)
Se (0.8037, 0.6381, 0.3182)
Se (0.0259, 0.7984, 0.0724)
Se (0.3619, 0.1963, 0.1818)
Pa (0.8284, 0.3960, 0.5909)
Pa (0.6040, 0.1716, 0.9091)
Pa (0.3960, 0.8284, 0.0909)
Pa (0.1716, 0.6040, 0.4091)

Summary:
The raw total energy comes out at -90.8 eV/cell.